# 1
Material: SiSbRh2
Method: DFT, PBE-GGA
State: relaxed

The space group is I-4m2 (No. 119) and the conventional cell measures 3.7444, 3.7444 and 9.0635 Å, with angles of 90.00, 90.00 and 90.00 degrees. The asymmetric unit holds Si at (0.0000, 0.0000, 0.0000), Sb at (0.0000, 0.5000, 0.2500), Rh at (0.0000, 0.0000, 0.5000) and Rh at (0.0000, 0.5000, 0.7500).

The uncorrected formation energy comes out at -0.1841 eV per atom. The energy above the most stable polymorph in this dataset is 0.311 eV per atom.

---

# 2
Material: CaPrNiPt
Method: DFT, PBE-GGA
State: relaxed

The space group is Amm2 (No. 38) and the conventional cell measures 4.2678, 4.0207 and 10.8035 Å, with angles of 90.00, 90.00 and 90.00 degrees. The asymmetric unit holds Ca at (0.0000, 0.0000, 0.0000), Pr at (0.5000, 0.0000, 0.7166), Ni at (0.0000, 0.0000, 0.2880) and Pt at (0.5000, 0.0000, 0.4301).

The formation enthalpy at 0 K is -634 meV/atom. The energy above the most stable polymorph in this dataset is 0.000 eV per atom.

---

# 3
Material: ReAs2Br
Method: DFT, PBE-GGA
State: relaxed

The space group is Immm (No. 71) and the conventional cell measures 3.0261, 4.9168 and 10.9978 Å, with angles of 90.00, 90.00 and 90.00 degrees. The asymmetric unit holds Re at (0.0000, 0.0000, 0.0000), As at (0.0000, 0.5000, 0.3142) and Br at (0.0000, 0.0000, 0.5000).

The uncorrected formation energy comes out at 0.5897 eV per atom. The energy above the most stable polymorph in this dataset is 0.444 eV per atom.

---

# 4
Material: CaLa2Pm6Dy3
Method: DFT, PBE-GGA
State: relaxed

The space group is C2/m (No. 12) and the conventional cell measures 6.3349, 10.9788 and 12.0868 Å, with angles of 90.00, 100.07 and 90.00 degrees. The asymmetric unit holds Ca at (0.0000, 0.0000, 0.0000), La at (0.0000, 0.3330, 0.0000), Pm at (0.2450, 0.3315, 0.7423), Pm at (0.2502, 0.0000, 0.7416), Dy at (0.0000, 0.1657, 0.5000) and Dy at (0.0000, 0.5000, 0.5000).

The formation enthalpy at 0 K is 36 meV/atom.

---

# 5
Material: UMn3Ge3
Method: DFT, PBE-GGA
State: relaxed

The space group is Pm-3n (No. 223) and the conventional cell measures 6.6378, 6.6378 and 6.6378 Å, with angles of 90.00, 90.00 and 90.00 degrees. The asymmetric unit holds U at (0.0000, 0.0000, 0.0000), Mn at (0.0000, 0.2500, 0.5000) and Ge at (0.0000, 0.5000, 0.2500).

The formation enthalpy at 0 K is 532 meV/atom.

---

# 6
Material: SiTcRuC
Method: DFT, PBE-GGA
State: relaxed

The space group is Cm (No. 8) and the conventional cell measures 5.1846, 2.9084 and 6.5638 Å, with angles of 90.00, 103.81 and 90.00 degrees. The asymmetric unit holds Si at (0.0000, 0.0000, 0.0000), Tc at (0.0147, 0.5000, 0.6879), Ru at (0.2647, 0.5000, 0.2856) and C at (0.1454, 0.0000, 0.4886).

The uncorrected formation energy comes out at 0.0985 eV per atom. The energy above the most stable polymorph in this dataset is 0.122 eV per atom.

---

# 7
Material: PmTmAg
Method: DFT, PBE-GGA
State: relaxed

The space group is I4mm (No. 107) and the conventional cell measures 3.5967, 3.5967 and 12.7106 Å, with angles of 90.00, 90.00 and 90.00 degrees. The asymmetric unit holds Pm at (0.0000, 0.0000, 0.0000), Tm at (0.0000, 0.0000, 0.7016) and Ag at (0.0000, 0.0000, 0.3357).

The formation enthalpy at 0 K is -172 meV/atom. The energy above the most stable polymorph in this dataset is 0.000 eV per atom.

---

# 8
Material: NdAgP2O8
Method: DFT, PBE-GGA
State: relaxed

The space group is I-4m2 (No. 119) and the conventional cell measures 7.1735, 7.1735 and 6.2575 Å, with angles of 90.00, 90.00 and 90.00 degrees. The asymmetric unit holds Nd at (0.0000, 0.0000, 0.0000), Ag at (0.0000, 0.5000, 0.7500), P at (0.0000, 0.0000, 0.5000), P at (0.0000, 0.5000, 0.2500), O at (0.0000, 0.1679, 0.6570) and O at (0.0000, 0.3289, 0.0987).

The uncorrected formation energy comes out at -1.9955 eV per atom.

---

# 9
Material: Pm3Dy4Cd2
Method: DFT, PBE-GGA
State: relaxed

The space group is C2/m (No. 12) and the conventional cell measures 14.8167, 4.9157 and 7.8213 Å, with angles of 90.00, 108.53 and 90.00 degrees. The asymmetric unit holds Pm at (0.0000, 0.0000, 0.0000), Pm at (0.1141, 0.0000, 0.6693), Dy at (0.0573, 0.5000, 0.3326), Dy at (0.2217, 0.0000, 0.3184) and Cd at (0.1664, 0.5000, 0.0008).

The formation enthalpy at 0 K is -73 meV/atom.

---

# 10
Material: KNbSe2Br
Method: DFT, PBE-GGA
State: relaxed

The space group is P4/mmm (No. 123) and the conventional cell measures 5.0793, 5.0793 and 5.5127 Å, with angles of 90.00, 90.00 and 90.00 degrees. The asymmetric unit holds K at (0.0000, 0.0000, 0.0000), Nb at (0.5000, 0.5000, 0.5000), Se at (0.0000, 0.5000, 0.5000) and Br at (0.5000, 0.5000, 0.0000).

The uncorrected formation energy comes out at -0.8385 eV per atom. The energy above the most stable polymorph in this dataset is 0.000 eV per atom.

---

# 11
Material: YHoTmSc3
Method: DFT, PBE-GGA
State: relaxed

The space group is C2/m (No. 12) and the conventional cell measures 16.2931, 5.2361 and 7.9171 Å, with angles of 90.00, 93.38 and 90.00 degrees. The asymmetric unit holds Y at (0.0926, 0.0000, 0.0821), Ho at (0.2235, 0.0000, 0.4033), Tm at (0.0811, 0.5000, 0.3774), Sc at (0.0626, 0.0000, 0.6510), Sc at (0.1113, 0.5000, 0.8296) and Sc at (0.2477, 0.0000, 0.8527).

The formation enthalpy at 0 K is 119 meV/atom.

---

# 12
Material: LiRe2B
Method: DFT, PBE-GGA
State: relaxed

The space group is R-3m (No. 166, hexagonal axes) and the conventional cell measures 2.9266, 2.9266 and 23.8907 Å, with angles of 90.00, 90.00 and 120.00 degrees. The asymmetric unit holds Li at (0.0000, 0.0000, 0.0000), Re at (0.0000, 0.0000, 0.1138) and B at (0.0000, 0.0000, 0.5000).

The formation enthalpy at 0 K is 444 meV/atom.

---

Short version: raw total energy = -6.25; -5.29; -5.27; -4.48; -6.99; -8.47; -4.20; -6.84; -3.91; -4.80; -5.63; -7.93 eV per atom, in the order given.
Short version: Fermi-level density of states = 4.20; 5.05; 7.28; 32.14; 26.40; 6.17; 7.81; 17.10; 22.18; 2.11; 51.43; 9.66 states/eV per cell, in the order given.